CaPm4Ho (PBE, optimized geometry); E = -25.313 eV per formula unit; energy relative to the lowest polymorph listed for this composition = 0.0 meV per atom; symmetry = No. 47; V = 34.7 A^3/atom; total magnetization = 0.00 μB per formula unit; formation energy = 0.045 eV per atom
1.0
-2.4843 -0.0015 -2.6383
-0.6935 -5.1030 0.6535
-7.9144 2.0296 7.4444
Pm Ho Ca
4 1 1
Cartesian
-5.5231 -1.8605 0.2235
-3.3714 -4.7331 0.6907
-5.5690 -1.2145 5.2361
-7.7208 1.6581 4.7689
-5.1993 1.0140 2.4030
-0.3467 -2.5515 0.3268

=====

CaTb8Y4 (PBE, optimized geometry); E = -64.302 eV per formula unit; symmetry = No. 12; V = 32.6 A^3/atom; total magnetization = 0.00 μB per formula unit; formation energy = 0.046 eV per atom
1.0
-2.9997 2.6106 3.1414
-5.5808 -2.5723 0.8963
-1.0623 -10.9630 12.1839
Tb Y Ca
8 4 1
Cartesian
-5.4539 -10.9566 12.0727
-4.2317 0.8316 3.4434
-5.8726 -8.4718 9.6079
-6.1263 -5.0093 10.5760
-3.8130 -1.6533 5.9083
-3.5594 -5.1158 4.9402
-3.0120 -6.6872 10.8565
-6.6737 -3.4379 4.6597
-6.2677 -5.9291 7.1176
-3.4180 -4.1960 8.3985
-5.7852 -7.5485 13.0118
-3.9004 -2.5764 2.5042
-2.5836 -9.2579 13.4018